Computed, not measured: a relaxed La2Sn2Pt crystal at the GGA-PBE level of DFT.

DOS at the Fermi energy	0.397	states/eV/atom
distance to the lowest polymorph of the same formula	1.98	eV/f.u.
calculated volume	315.02	Å³/cell
formation energy	-0.561	eV/atom

a b c (Å): 7.984 7.984 4.942
angles (deg): 90.00 90.00 90.00
Fractional coordinates of all 10 atoms:
1 La 0.178 0.322 0.000
2 La 0.322 0.822 0.000
3 La 0.678 0.178 0.000
4 La 0.822 0.678 0.000
5 Sn 0.125 0.625 0.500
6 Sn 0.375 0.125 0.500
7 Sn 0.625 0.875 0.500
8 Sn 0.875 0.375 0.500
9 Pt 0.000 0.000 0.000
10 Pt 0.500 0.500 0.000

Computed, not measured: a relaxed La2Sn3Pt crystal at the GGA-PBE level of DFT.

DOS at the Fermi energy	0.594	states/eV/atom
distance to the lowest polymorph of the same formula	0.17	eV/f.u.
calculated volume	167.61	Å³/cell
formation energy	-0.797	eV/atom

a b c (Å): 4.331 4.836 8.003
angles (deg): 90.00 90.00 90.00
Fractional coordinates of all 6 atoms:
1 La 0.000 0.000 0.000
2 La 0.000 0.500 0.479
3 Sn 0.500 0.000 0.629
4 Sn 0.500 0.500 0.166
5 Sn 0.500 0.500 0.814
6 Pt 0.500 0.000 0.298

Computed, not measured: a relaxed La2Sn2Pt crystal at the GGA-PBE level of DFT.

DOS at the Fermi energy	0.597	states/eV/atom
distance to the lowest polymorph of the same formula	0.00	eV/f.u.
calculated volume	275.48	Å³/cell
formation energy	-0.956	eV/atom

a b c (Å): 6.179 6.179 11.563
angles (deg): 115.42 115.42 44.79
Fractional coordinates of all 10 atoms:
1 La 0.005 0.005 0.331
2 La 0.189 0.189 0.125
3 La 0.811 0.811 0.875
4 La 0.995 0.995 0.669
5 Sn 0.346 0.346 0.451
6 Sn 0.475 0.475 0.116
7 Sn 0.525 0.525 0.884
8 Sn 0.654 0.654 0.549
9 Pt 0.274 0.274 0.670
10 Pt 0.726 0.726 0.330

Computed, not measured: a relaxed La2Sn4Pt crystal at the GGA-PBE level of DFT.

DOS at the Fermi energy	0.720	states/eV/atom
calculated volume	216.77	Å³/cell
formation energy	-0.378	eV/atom

a b c (Å): 8.976 8.976 8.976
angles (deg): 146.73 146.73 47.77
Fractional coordinates of all 7 atoms:
1 La 0.142 0.142 0.000
2 La 0.858 0.858 0.000
3 Sn 0.000 0.500 0.500
4 Sn 0.334 0.334 0.000
5 Sn 0.500 0.000 0.500
6 Sn 0.666 0.666 0.000
7 Pt 0.500 0.500 0.000

Computed, not measured: a relaxed LaSn12Pt4 crystal at the GGA-PBE level of DFT.

DOS at the Fermi energy	0.597	states/eV/atom
calculated volume	431.35	Å³/cell
formation energy	-0.445	eV/atom

a b c (Å): 8.244 8.244 8.244
angles (deg): 109.47 109.47 109.47
Fractional coordinates of all 17 atoms:
1 La 0.000 0.000 0.000
2 Sn 0.158 0.344 0.502
3 Sn 0.158 0.656 0.814
4 Sn 0.186 0.842 0.344
5 Sn 0.344 0.186 0.842
6 Sn 0.344 0.502 0.158
7 Sn 0.498 0.842 0.656
8 Sn 0.502 0.158 0.344
9 Sn 0.656 0.498 0.842
10 Sn 0.656 0.814 0.158
11 Sn 0.814 0.158 0.656
12 Sn 0.842 0.344 0.186
13 Sn 0.842 0.656 0.498
14 Pt 0.000 0.000 0.500
15 Pt 0.000 0.500 0.000
16 Pt 0.500 0.000 0.000
17 Pt 0.500 0.500 0.500

Computed, not measured: a relaxed La2Sn3Pt2 crystal at the GGA-PBE level of DFT.

DOS at the Fermi energy	0.425	states/eV/atom
calculated volume	350.13	Å³/cell
formation energy	-0.849	eV/atom

a b c (Å): 10.344 10.344 7.509
angles (deg): 90.00 90.00 154.17
Fractional coordinates of all 14 atoms:
1 La 0.046 0.954 0.750
2 La 0.163 0.837 0.250
3 La 0.837 0.163 0.750
4 La 0.954 0.046 0.250
5 Sn 0.216 0.784 0.750
6 Sn 0.431 0.569 0.556
7 Sn 0.431 0.569 0.944
8 Sn 0.569 0.431 0.056
9 Sn 0.569 0.431 0.444
10 Sn 0.784 0.216 0.250
11 Pt 0.299 0.701 0.045
12 Pt 0.299 0.701 0.455
13 Pt 0.701 0.299 0.545
14 Pt 0.701 0.299 0.955

Computed, not measured: a relaxed La2Sn2Pt crystal at the GGA-PBE level of DFT.

DOS at the Fermi energy	1.066	states/eV/atom
distance to the lowest polymorph of the same formula	2.18	eV/f.u.
calculated volume	145.97	Å³/cell
formation energy	-0.521	eV/atom

a b c (Å): 9.224 9.224 9.224
angles (deg): 154.43 154.43 36.47
Fractional coordinates of all 5 atoms:
1 La 0.093 0.093 0.000
2 La 0.907 0.907 0.000
3 Sn 0.250 0.750 0.500
4 Sn 0.750 0.250 0.500
5 Pt 0.500 0.500 0.000

Computed, not measured: a relaxed La3Sn4Pt2 crystal at the GGA-PBE level of DFT.

DOS at the Fermi energy	0.619	states/eV/atom
calculated volume	238.97	Å³/cell
formation energy	-0.893	eV/atom

a b c (Å): 6.150 6.150 9.157
angles (deg): 106.59 106.59 46.54
Fractional coordinates of all 9 atoms:
1 La 0.000 0.000 0.000
2 La 0.367 0.367 0.315
3 La 0.633 0.633 0.685
4 Sn 0.103 0.103 0.418
5 Sn 0.288 0.288 0.931
6 Sn 0.712 0.712 0.069
7 Sn 0.897 0.897 0.582
8 Pt 0.345 0.345 0.669
9 Pt 0.655 0.655 0.331

Computed, not measured: a relaxed La3Sn2Pt crystal at the GGA-PBE level of DFT.

DOS at the Fermi energy	0.802	states/eV/atom
calculated volume	731.94	Å³/cell
formation energy	-0.923	eV/atom

a b c (Å): 12.799 4.681 12.216
angles (deg): 90.00 90.00 90.00
Fractional coordinates of all 24 atoms:
1 La 0.055 0.250 0.127
2 La 0.118 0.750 0.551
3 La 0.232 0.250 0.803
4 La 0.268 0.750 0.303
5 La 0.382 0.250 0.051
6 La 0.445 0.750 0.627
7 La 0.555 0.250 0.373
8 La 0.618 0.750 0.949
9 La 0.732 0.250 0.697
10 La 0.768 0.750 0.197
11 La 0.882 0.250 0.449
12 La 0.945 0.750 0.873
13 Sn 0.006 0.750 0.304
14 Sn 0.194 0.750 0.002
15 Sn 0.306 0.250 0.502
16 Sn 0.494 0.250 0.804
17 Sn 0.506 0.750 0.196
18 Sn 0.694 0.750 0.498
19 Sn 0.806 0.250 0.998
20 Sn 0.994 0.250 0.696
21 Pt 0.122 0.250 0.369
22 Pt 0.378 0.750 0.869
23 Pt 0.622 0.250 0.131
24 Pt 0.878 0.750 0.631

Computed, not measured: a relaxed La6Sn3Pt crystal at the GGA-PBE level of DFT.

DOS at the Fermi energy	1.329	states/eV/atom
calculated volume	728.49	Å³/cell
formation energy	-0.578	eV/atom

a b c (Å): 9.889 9.889 7.677
angles (deg): 90.00 90.00 103.98
Fractional coordinates of all 20 atoms:
1 La 0.002 0.998 0.500
2 La 0.099 0.588 0.915
3 La 0.242 0.758 0.412
4 La 0.297 0.365 0.409
5 La 0.365 0.297 0.909
6 La 0.412 0.901 0.915
7 La 0.588 0.099 0.415
8 La 0.635 0.703 0.409
9 La 0.703 0.635 0.909
10 La 0.758 0.242 0.912
11 La 0.901 0.412 0.415
12 La 0.998 0.002 0.000
13 Sn 0.067 0.292 0.725
14 Sn 0.292 0.067 0.225
15 Sn 0.396 0.604 0.110
16 Sn 0.604 0.396 0.610
17 Sn 0.708 0.933 0.725
18 Sn 0.933 0.708 0.225
19 Pt 0.146 0.854 0.741
20 Pt 0.854 0.146 0.241

Computed, not measured: a relaxed LaSnPt3 crystal at the GGA-PBE level of DFT.

DOS at the Fermi energy	1.015	states/eV/atom
distance to the lowest polymorph of the same formula	6.33	eV/f.u.
calculated volume	145.58	Å³/cell
formation energy	0.659	eV/atom

a b c (Å): 5.261 5.261 5.261
angles (deg): 90.00 90.00 90.00
Fractional coordinates of all 5 atoms:
1 La 0.000 0.000 0.000
2 Sn 0.500 0.500 0.500
3 Pt 0.000 0.000 0.500
4 Pt 0.000 0.500 0.000
5 Pt 0.500 0.000 0.000

Computed, not measured: a relaxed La4Sn8Pt crystal at the GGA-PBE level of DFT.

DOS at the Fermi energy	0.552	states/eV/atom
calculated volume	370.21	Å³/cell
formation energy	-0.717	eV/atom

a b c (Å): 4.536 4.623 17.652
angles (deg): 90.00 90.00 90.00
Fractional coordinates of all 13 atoms:
1 La 0.000 0.000 0.000
2 La 0.000 0.500 0.489
3 La 0.500 0.000 0.787
4 La 0.500 0.500 0.289
5 Sn 0.000 0.000 0.328
6 Sn 0.000 0.000 0.627
7 Sn 0.000 0.500 0.142
8 Sn 0.000 0.500 0.856
9 Sn 0.500 0.000 0.148
10 Sn 0.500 0.000 0.441
11 Sn 0.500 0.500 0.625
12 Sn 0.500 0.500 0.965
13 Pt 0.000 0.500 0.708